Record 1
VASP calculation (PBE) on LaNdGePt after structural relaxation.

Cell: 5.220 5.220 5.220 Å, 60.00 60.00 60.00°
Sites, in units of the cell vectors:
Ge: 0.250 0.250 0.250
Nd: 0.000 0.000 0.000
Pt: 0.750 0.750 0.750
La: 0.500 0.500 0.500

Properties
As for the space group: F-43m (216). For the formation energy, the calculation gives -845 meV per atom. The energy above the lowest structure with this stoichiometry comes out at 0.1628 eV per atom.

Record 2
VASP calculation (PBE) on LaNdGePt after structural relaxation.

Cell: 4.181 4.327 6.075 Å, 90.00 110.13 90.00°
Sites, in units of the cell vectors:
La: 0.864 0.500 0.727
Nd: 0.140 0.000 0.280
Ge: 0.581 0.500 0.162
Pt: 0.416 0.000 0.831

Properties
As for the space group: Amm2 (38). For the formation energy, the calculation gives -1008 meV per atom. The energy above the lowest structure with this stoichiometry comes out at 0.0000 eV per atom.

Record 3
VASP calculation (PBE) on LaNdGeRh after structural relaxation.

Cell: 4.280 4.194 5.953 Å, 90.00 111.07 90.00°
Sites, in units of the cell vectors:
La: 0.863 0.500 0.726
Nd: 0.141 0.000 0.281
Ge: 0.573 0.500 0.146
Rh: 0.423 0.000 0.846

Properties
As for the space group: Amm2 (38). For the formation energy, the calculation gives -796 meV per atom. The energy above the lowest structure with this stoichiometry comes out at 0.0000 eV per atom.

Record 4
VASP calculation (PBE) on LaNdGeRh after structural relaxation.

Cell: 5.172 5.172 5.172 Å, 60.00 60.00 60.00°
Sites, in units of the cell vectors:
Rh: 0.750 0.750 0.750
Ge: 0.250 0.250 0.250
Nd: 0.000 0.000 0.000
La: 0.500 0.500 0.500

Properties
As for the space group: F-43m (216). For the formation energy, the calculation gives -607 meV per atom. The energy above the lowest structure with this stoichiometry comes out at 0.1890 eV per atom.

Record 5
VASP calculation (PBE) on La2NdGe3Rh4 after structural relaxation.

Cell: 4.262 4.262 11.317 Å, 90.00 90.00 90.00°
Sites, in units of the cell vectors:
La: 0.500 0.000 0.229
La: 0.000 0.500 0.771
Nd: 0.500 0.500 0.500
Ge: 0.000 0.000 0.500
Ge: 0.500 0.000 0.883
Ge: 0.000 0.500 0.117
Rh: 0.500 0.500 0.000
Rh: 0.000 0.000 0.000
Rh: 0.500 0.000 0.664
Rh: 0.000 0.500 0.336

Properties
As for the space group: P-4m2 (115). For the formation energy, the calculation gives -858 meV per atom.

Record 6
VASP calculation (PBE) on LaNdGeS after structural relaxation.

Cell: 4.258 4.258 7.371 Å, 73.21 73.21 60.00°
Sites, in units of the cell vectors:
La: 0.695 0.695 0.916
Nd: 0.194 0.194 0.419
Ge: 0.943 0.943 0.172
S: 0.445 0.445 0.664

Properties
As for the space group: R3m (160). The energy relative to the elements, uncorrected comes out at -5.86 eV per formula unit.